Entry 1:
First-principles (PBE-GGA) data for a relaxed structure of Mo3H2Rh2, as listed in Alexandria via LeMat-Bulk.

crystal system	monoclinic

a b c (Å): 9.2540 2.8178 6.9826
angles (deg): 90.00 118.85 90.00
Last column: nearest neighbours and their distance in Å.
Space group C2/m (No. 12)
Symmetry-distinct sites (fractional):
Mo: 0.0000 0.0000 0.0000 [2 per cell]  4 H 2.00
Mo: 0.1903 0.0000 0.7721 [4 per cell]  3 H 1.95-2.08
H: 0.1217 0.5000 0.9327 [4 per cell]  5 Mo 1.95-2.08
Rh: 0.0974 0.5000 0.3959 [4 per cell]  1 H 2.21

---

Entry 2:
First-principles (PBE-GGA) data for a relaxed structure of Nd2Y6HoTm3, as listed in Alexandria via LeMat-Bulk.

formation energy	0.02	eV/atom
crystal system	monoclinic

a b c (Å): 6.1797 10.6929 11.8076
angles (deg): 90.00 100.01 90.00
Last column: nearest neighbours and their distance in Å.
Space group C2/m (No. 12)
Symmetry-distinct sites (fractional):
Nd: 0.0000 0.1666 0.0000 [4 per cell]  3 Nd 3.56-3.57, 3 Ho 3.56-3.57, 6 Y 3.60
Y: 0.2475 0.5000 0.7462 [4 per cell]  3 Tm 3.52-3.53, 6 Y 3.56-3.57, 1 Ho 3.59, 2 Nd 3.60
Y: 0.2488 0.1663 0.7464 [8 per cell]  3 Tm 3.53, 6 Y 3.56-3.57, 1 Ho 3.59, 2 Nd 3.60
Ho: 0.0000 0.5000 0.0000 [2 per cell]  6 Nd 3.56-3.57, 6 Y 3.59
Tm: 0.0000 0.0000 0.5000 [2 per cell]  6 Y 3.53, 6 Tm 3.57
Tm: 0.0000 0.3336 0.5000 [4 per cell]  6 Y 3.52-3.53, 6 Tm 3.56-3.57

---

Entry 3:
First-principles (PBE-GGA) data for a relaxed structure of ScRu3, as listed in Alexandria via LeMat-Bulk.

formation energy	0.03	eV/atom
crystal system	trigonal

a b c (Å): 8.6693 8.6693 2.8019
angles (deg): 90.00 90.00 120.00
Last column: nearest neighbours and their distance in Å.
Space group R-3m (No. 166, hexagonal axes)
Symmetry-distinct sites (fractional):
Sc: 0.0000 0.0000 0.0000 [3 per cell]  6 Ru 2.67, 2 Sc 2.80
Ru: 0.0000 0.5000 0.0000 [9 per cell]  2 Sc 2.67, 6 Ru 2.67-2.80

---

Entry 4:
First-principles (PBE-GGA) data for a relaxed structure of La3CeBi2, as listed in Alexandria via LeMat-Bulk.

formation energy	-0.25	eV/atom
crystal system	orthorhombic

a b c (Å): 3.4844 5.9881 19.0332
angles (deg): 90.00 90.00 90.00
Last column: nearest neighbours and their distance in Å.
Space group Immm (No. 71)
Symmetry-distinct sites (fractional):
La: 0.0000 0.0000 0.0000 [2 per cell]  2 Ce 2.99
La: 0.0000 0.5000 0.1705 [4 per cell]  1 Ce 3.24, 5 Bi 3.26-3.47, 2 La 3.48
Ce: 0.0000 0.5000 0.0000 [2 per cell]  4 La 2.99-3.24
Bi: 0.0000 0.5000 0.3419 [4 per cell]  7 La 3.26-3.48, 2 Bi 3.48

---

Entry 5:
First-principles (PBE-GGA) data for a relaxed structure of CuPb2, as listed in Alexandria via LeMat-Bulk.

formation energy	0.17	eV/atom
crystal system	orthorhombic

a b c (Å): 6.4585 6.6256 3.6606
angles (deg): 90.00 90.00 90.00
Last column: nearest neighbours and their distance in Å.
Space group Pnnm (No. 58)
Symmetry-distinct sites (fractional):
Cu: 0.0000 0.0000 0.0000 [2 per cell]  6 Pb 2.76-2.77
Pb: 0.1319 0.2850 0.5000 [4 per cell]  3 Cu 2.76-2.77

---

Entry 6:
First-principles (PBE-GGA) data for a relaxed structure of TaHgP2Cl, as listed in Alexandria via LeMat-Bulk.

polymorph energy (0 for the lowest one)	0	meV/atom
crystal system	tetragonal
energy relative to the elements, uncorrected	0.20	eV per formula unit

a b c (Å): 4.8772 4.8772 4.9075
angles (deg): 90.00 90.00 90.00
Last column: nearest neighbours and their distance in Å.
Space group P4/mmm (No. 123)
Symmetry-distinct sites (fractional):
Ta: 0.0000 0.0000 0.0000 [1 per cell]  4 P 2.44, 2 Cl 2.45
Hg: 0.5000 0.5000 0.5000 [1 per cell]  4 Cl 3.45, 8 P 3.46
P: 0.0000 0.5000 0.0000 [2 per cell]  2 Ta 2.44
Cl: 0.0000 0.0000 0.5000 [1 per cell]  2 Ta 2.45

---

Entry 7:
First-principles (PBE-GGA) data for a relaxed structure of HfCl3, as listed in Alexandria via LeMat-Bulk.

crystal system	tetragonal
energy relative to the elements, uncorrected	-5.51	eV per formula unit

a b c (Å): 9.2978 9.2978 4.9985
angles (deg): 90.00 90.00 90.00
Last column: nearest neighbours and their distance in Å.
Space group I-42d (No. 122)
Symmetry-distinct sites (fractional):
Hf: 0.0000 0.0000 0.0000 [4 per cell]  6 Cl 2.50-2.54
Cl: 0.0000 0.0000 0.5000 [4 per cell]  2 Hf 2.50
Cl: 0.0872 0.2500 0.1250 [8 per cell]  2 Hf 2.54

---

Entry 8:
First-principles (PBE-GGA) data for a relaxed structure of ReAgAs2, as listed in Alexandria via LeMat-Bulk.

polymorph energy (0 for the lowest one)	295	meV/atom
formation energy	0.45	eV/atom
crystal system	tetragonal

a b c (Å): 5.9375 5.9375 10.9051
angles (deg): 90.00 90.00 90.00
Last column: nearest neighbours and their distance in Å.
Space group I-42d (No. 122)
Symmetry-distinct sites (fractional):
Re: 0.0000 0.0000 0.0000 [4 per cell]  4 As 2.38
Ag: 0.0000 0.0000 0.5000 [4 per cell]  4 As 2.63
As: 0.2141 0.2500 0.1250 [8 per cell]  2 Re 2.38, 2 Ag 2.63

---

Entry 9:
First-principles (PBE-GGA) data for a relaxed structure of Ca2HoCdSe4, as listed in Alexandria via LeMat-Bulk.

crystal system	monoclinic
energy relative to the elements, uncorrected	-12.32	eV per formula unit

a b c (Å): 7.0781 4.1433 7.4370
angles (deg): 90.00 109.64 90.00
Last column: nearest neighbours and their distance in Å.
Space group P2/m (No. 10)
Symmetry-distinct sites (fractional):
Ca: 0.0000 0.0000 0.0000 [1 per cell]  6 Se 2.99-3.06
Ca: 0.0000 0.5000 0.5000 [1 per cell]  6 Se 2.95-2.96
Ho: 0.5000 0.0000 0.5000 [1 per cell]  6 Se 2.87-2.90
Cd: 0.5000 0.5000 0.0000 [1 per cell]  6 Se 2.94-2.98
Se: 0.2570 0.5000 0.2581 [2 per cell]  2 Ho 2.90, 3 Ca 2.96-2.99, 1 Cd 2.98
Se: 0.2601 0.0000 0.7441 [2 per cell]  1 Ho 2.87, 2 Cd 2.94, 3 Ca 2.95-3.06

---

Entry 10:
First-principles (PBE-GGA) data for a relaxed structure of KIn3Sn3, as listed in Alexandria via LeMat-Bulk.

polymorph energy (0 for the lowest one)	0	meV/atom
formation energy	0.01	eV/atom
crystal system	trigonal

a b c (Å): 7.8645 7.8645 28.3285
angles (deg): 90.00 90.00 120.00
Last column: nearest neighbours and their distance in Å.
Space group R-3 (No. 148, hexagonal axes)
Symmetry-distinct sites (fractional):
K: 0.0000 0.0000 0.1686 [6 per cell]  6 Sn 3.66-3.67
In: 0.0098 0.3562 0.3636 [18 per cell]  4 Sn 2.96-3.11, 3 In 3.13-3.17
Sn: 0.0073 0.3152 0.5871 [18 per cell]  4 In 2.96-3.11

---

Entry 11:
First-principles (PBE-GGA) data for a relaxed structure of CsAl2ZnN, as listed in Alexandria via LeMat-Bulk.

crystal system	tetragonal
energy relative to the elements, uncorrected	2.76	eV per formula unit

a b c (Å): 4.2197 4.2197 6.3706
angles (deg): 90.00 90.00 90.00
Last column: nearest neighbours and their distance in Å.
Space group P4/mmm (No. 123)
Symmetry-distinct sites (fractional):
Cs: 0.0000 0.0000 0.0000 [1 per cell]  4 Zn 2.98, 2 N 3.19
Al: 0.0000 0.5000 0.5000 [2 per cell]  2 N 2.11
Zn: 0.5000 0.5000 0.0000 [1 per cell]  4 Cs 2.98
N: 0.0000 0.0000 0.5000 [1 per cell]  4 Al 2.11

---

Entry 12:
First-principles (PBE-GGA) data for a relaxed structure of CeEr2ReC4, as listed in Alexandria via LeMat-Bulk.

formation energy	-0.11	eV/atom
crystal system	orthorhombic

a b c (Å): 3.5002 12.0491 12.1025
angles (deg): 90.00 90.00 90.00
Last column: nearest neighbours and their distance in Å.
Space group Cmcm (No. 63)
Symmetry-distinct sites (fractional):
Ce: 0.0000 0.0941 0.2500 [4 per cell]  6 C 2.72-2.84
Er: 0.0000 0.3715 0.0395 [8 per cell]  6 C 2.39-2.63
Re: 0.0000 0.1673 0.7500 [4 per cell]  4 C 1.88-2.05
C: 0.0000 0.0000 0.0000 [4 per cell]  4 Er 2.39
C: 0.0000 0.2652 0.6288 [8 per cell]  1 Re 1.88
C: 0.0000 0.4208 0.2500 [4 per cell]  2 Re 2.05

---

Entry 13:
First-principles (PBE-GGA) data for a relaxed structure of Tl12In7Sn, as listed in Alexandria via LeMat-Bulk.

polymorph energy (0 for the lowest one)	17	meV/atom
formation energy	0.04	eV/atom
crystal system	trigonal

a b c (Å): 14.7482 14.7482 9.6685
angles (deg): 90.00 90.00 120.00
Last column: nearest neighbours and their distance in Å.
Space group R-3 (No. 148, hexagonal axes)
Symmetry-distinct sites (fractional):
Tl: 0.0276 0.7748 0.0706 [18 per cell]  2 In 3.18-3.38, 2 Tl 3.33-3.34
Tl: 0.0378 0.8666 0.7519 [18 per cell]  3 In 3.23-3.32, 2 Tl 3.33-3.34, 1 Sn 3.35
In: 0.0000 0.0000 0.0000 [3 per cell]  12 Tl 3.32-3.61
In: 0.0760 0.8217 0.4368 [18 per cell]  4 Tl 3.18-3.38, 3 In 3.22-3.55, 1 Sn 3.39
Sn: 0.0000 0.0000 0.5000 [3 per cell]  6 Tl 3.35, 6 In 3.39

---

Entry 14:
First-principles (PBE-GGA) data for a relaxed structure of CaAl2Hg, as listed in Alexandria via LeMat-Bulk.

formation energy	-0.16	eV/atom
crystal system	orthorhombic

a b c (Å): 3.4062 3.5970 7.2173
angles (deg): 90.00 90.00 90.00
Last column: nearest neighbours and their distance in Å.
Space group Pmm2 (No. 25)
Symmetry-distinct sites (fractional):
Ca: 0.0000 0.0000 0.0000 [1 per cell]  4 Hg 3.23, 5 Al 3.27-3.48, 4 Ca 3.41-3.60
Al: 0.0000 0.0000 0.5176 [1 per cell]  4 Al 2.82, 4 Hg 2.98
Al: 0.5000 0.5000 0.7040 [1 per cell]  4 Al 2.82, 1 Hg 3.01
Hg: 0.5000 0.5000 0.2873 [1 per cell]  5 Al 2.98-3.01, 4 Ca 3.23

---

Entry 15:
First-principles (PBE-GGA) data for a relaxed structure of LiCeCuH6, as listed in Alexandria via LeMat-Bulk.

crystal system	hexagonal

a b c (Å): 4.4015 4.4015 4.3331
angles (deg): 90.00 90.00 120.00
Last column: nearest neighbours and their distance in Å.
Space group P-6m2 (No. 187)
Symmetry-distinct sites (fractional):
Li: 0.0000 0.0000 0.0000 [1 per cell]  6 H 1.79
Ce: 0.6667 0.3333 0.5000 [1 per cell]  12 H 2.40
Cu: 0.3333 0.6667 0.0000 [1 per cell]  6 H 1.73
H: 0.1724 0.3448 0.2809 [6 per cell]  1 Cu 1.73, 1 Li 1.79, 1 H 1.90

---

Number 1: total DFT energy (no corrections) -7.752 eV per atom, calculated volume 11.39 Å³/atom. Number 2: total DFT energy (no corrections) -5.503 eV per atom, calculated volume 32.02 Å³/atom. Number 3: total DFT energy (no corrections) -8.514 eV per atom, calculated volume 15.20 Å³/atom. Number 4: total DFT energy (no corrections) -4.992 eV per atom, calculated volume 33.09 Å³/atom. Number 5: total DFT energy (no corrections) -3.666 eV per atom, calculated volume 26.11 Å³/atom. Number 6: total DFT energy (no corrections) -4.925 eV per atom, calculated volume 23.35 Å³/atom. Number 7: total DFT energy (no corrections) -5.251 eV per atom, calculated volume 27.01 Å³/atom. Number 8: total DFT energy (no corrections) -5.704 eV per atom, calculated volume 24.03 Å³/atom. Number 9: total DFT energy (no corrections) -4.469 eV per atom, calculated volume 25.68 Å³/atom. Number 10: total DFT energy (no corrections) -3.038 eV per atom, calculated volume 36.13 Å³/atom. Number 11: total DFT energy (no corrections) -3.036 eV per atom, calculated volume 22.69 Å³/atom. Number 12: total DFT energy (no corrections) -8.160 eV per atom, calculated volume 15.95 Å³/atom. Number 13: total DFT energy (no corrections) -2.537 eV per atom, calculated volume 30.35 Å³/atom. Number 14: total DFT energy (no corrections) -2.612 eV per atom, calculated volume 22.11 Å³/atom. Number 15: total DFT energy (no corrections) -3.750 eV per atom, calculated volume 8.08 Å³/atom.